1.
Below is a geometry-optimized Tb3Ho8Tm2 structure, with properties calculated at the PBE level.

Values from the calculation:
The value obtained for the energy is -4.33 eV/atom.

a b c (Å): 5.5729 7.5926 10.6456
angles (deg): 110.89 90.01 90.00
Element x y z (fractional)
Ho: 0.0001 0.8662 0.7324
Tb: 0.5000 0.0000 0.0000
Ho: 0.5002 0.3986 0.2181
Ho: 0.4998 0.1806 0.7819
Tb: 0.0000 0.7131 0.0000
Ho: 0.9999 0.1338 0.2676
Tm: 0.4995 0.2412 0.4824
Ho: 0.4998 0.6014 0.7819
Ho: 0.5002 0.8194 0.2181
Tb: 0.0000 0.2869 0.0000
Tm: 0.5005 0.7588 0.5176
Ho: 0.9995 0.3301 0.6601
Ho: 0.0005 0.6699 0.3399

***

2.
Below is a geometry-optimized Tb4HoTm2 structure, with properties calculated at the PBE level.

Values from the calculation:
For the excess energy over the best structure of this formula in the dataset, the calculation gives 102 meV/atom. The value obtained for the energy is -4.44 eV/atom.

a b c (Å): 6.1238 6.4791 11.4257
angles (deg): 90.00 105.37 90.00
Element x y z (fractional)
Tb: 0.8535 0.2500 0.5539
Tb: 0.9686 0.2500 0.1388
Tb: 0.3482 0.0046 0.7132
Tb: 0.6518 0.9954 0.2868
Tm: 0.7095 0.7500 0.5737
Ho: 0.1589 0.7500 0.1616
Tm: 0.6077 0.7500 0.9973
Tb: 0.6518 0.5046 0.2868
Tm: 0.3923 0.2500 0.0027
Tb: 0.0314 0.7500 0.8612
Tb: 0.1465 0.7500 0.4461
Tb: 0.3482 0.4954 0.7132
Ho: 0.8411 0.2500 0.8384
Tm: 0.2905 0.2500 0.4263

***

3.
Below is a geometry-optimized Tb7Ho6Tm16 structure, with properties calculated at the PBE level.

Values from the calculation:
The value obtained for the energy is -4.27 eV/atom.

a b c (Å): 10.9930 10.9930 10.9930
angles (deg): 60.00 60.00 60.00
Element x y z (fractional)
Tm: 0.6509 0.0473 0.6509
Tb: 0.0000 0.5000 0.5000
Ho: 0.7284 0.2716 0.2716
Tm: 0.6509 0.6509 0.6509
Tb: 0.5000 0.0000 0.5000
Tm: 0.1248 0.1248 0.6255
Tm: 0.3491 0.3491 0.9527
Tm: 0.6509 0.6509 0.0473
Tb: 0.0000 0.5000 0.0000
Tm: 0.3745 0.8752 0.8752
Tm: 0.8752 0.8752 0.8752
Tm: 0.1248 0.1248 0.1248
Tm: 0.0473 0.6509 0.6509
Tm: 0.6255 0.1248 0.1248
Ho: 0.2716 0.7284 0.7284
Tm: 0.8752 0.8752 0.3745
Tb: 0.0000 0.0000 0.5000
Ho: 0.7284 0.7284 0.2716
Tb: 0.5000 0.0000 0.0000
Tm: 0.1248 0.6255 0.1248
Ho: 0.2716 0.2716 0.7284
Tb: 0.0000 0.0000 0.0000
Tb: 0.5000 0.5000 0.0000
Tm: 0.3491 0.9527 0.3491
Ho: 0.2716 0.7284 0.2716
Tm: 0.3491 0.3491 0.3491
Ho: 0.7284 0.2716 0.7284
Tm: 0.8752 0.3745 0.8752
Tm: 0.9527 0.3491 0.3491

***

4.
Below is a geometry-optimized Tb2HoTm structure, with properties calculated at the PBE level.

Values from the calculation:
For the excess energy over the best structure of this formula in the dataset, the calculation gives 132 meV/atom. The value obtained for the energy is -4.44 eV/atom.

a b c (Å): 5.6278 5.6278 5.6278
angles (deg): 60.00 60.00 60.00
Element x y z (fractional)
Ho: 0.0000 0.0000 0.0000
Tb: 0.7500 0.7500 0.7500
Tm: 0.5000 0.5000 0.5000
Tb: 0.2500 0.2500 0.2500

***

5.
Below is a geometry-optimized Tb15Ho4Tm structure, with properties calculated at the PBE level.

Values from the calculation:
The value obtained for the energy is -4.59 eV/atom.

a b c (Å): 5.0115 5.0115 25.0448
angles (deg): 90.00 90.00 90.00
Element x y z (fractional)
Tb: 0.5000 0.5000 0.1996
Ho: 0.0000 0.0000 0.6001
Tb: 0.5000 0.0000 0.2998
Tb: 0.0000 0.5000 0.0996
Tb: 0.5000 0.0000 0.0996
Ho: 0.0000 0.0000 0.3999
Ho: 0.0000 0.0000 0.8003
Tb: 0.0000 0.5000 0.7002
Tb: 0.5000 0.5000 0.0000
Tb: 0.0000 0.5000 0.5000
Tb: 0.0000 0.5000 0.9004
Tb: 0.5000 0.0000 0.5000
Tm: 0.0000 0.0000 0.0000
Tb: 0.5000 0.0000 0.9004
Tb: 0.0000 0.5000 0.2998
Tb: 0.5000 0.0000 0.7002
Ho: 0.0000 0.0000 0.1997
Tb: 0.5000 0.5000 0.6001
Tb: 0.5000 0.5000 0.3999
Tb: 0.5000 0.5000 0.8004

***

6.
Below is a geometry-optimized Tb6Ho2Tm structure, with properties calculated at the PBE level.

Values from the calculation:
For the excess energy over the best structure of this formula in the dataset, the calculation gives 96 meV/atom. The value obtained for the energy is -4.49 eV/atom.

a b c (Å): 6.5393 9.5188 9.5188
angles (deg): 96.26 80.40 80.40
Element x y z (fractional)
Ho: 0.8674 0.3807 0.3344
Tb: 0.4962 0.3518 0.7206
Tb: 0.2253 0.4613 0.0602
Tb: 0.7747 0.5387 0.9398
Tb: 0.7253 0.0602 0.4613
Tb: 0.2747 0.9398 0.5387
Tb: 0.5038 0.6482 0.2794
Tm: 0.7500 0.8805 0.1195
Ho: 0.1326 0.6193 0.6656
Tb: 0.8162 0.9557 0.7780
Tb: 0.1839 0.0443 0.2220
Tb: 0.9962 0.7206 0.3518
Ho: 0.3674 0.3344 0.3807
Tm: 0.2500 0.1195 0.8805
Tb: 0.3162 0.7780 0.9557
Ho: 0.6326 0.6656 0.6193
Tb: 0.6838 0.2220 0.0443
Tb: 0.0038 0.2794 0.6482

***

7.
Below is a geometry-optimized Tb15Ho2Tm2 structure, with properties calculated at the PBE level.

Values from the calculation:
The value obtained for the energy is -4.32 eV/atom.

a b c (Å): 8.6899 8.6899 8.6899
angles (deg): 79.16 79.16 79.16
Element x y z (fractional)
Tb: 0.5000 0.0000 0.0000
Tb: 0.6261 0.1504 0.6261
Tb: 0.8496 0.3739 0.3739
Tb: 0.0000 0.7026 0.2974
Tb: 0.0000 0.2974 0.7026
Tb: 0.3739 0.3739 0.8496
Tb: 0.7026 0.2974 0.0000
Tb: 0.7026 0.0000 0.2974
Tm: 0.9052 0.9052 0.9052
Tb: 0.1504 0.6261 0.6261
Tm: 0.0948 0.0948 0.0948
Ho: 0.3194 0.3194 0.3194
Tb: 0.0000 0.0000 0.5000
Tb: 0.2974 0.7026 0.0000
Tb: 0.2974 0.0000 0.7026
Tb: 0.3739 0.8496 0.3739
Tb: 0.0000 0.5000 0.0000
Tb: 0.6261 0.6261 0.1504
Ho: 0.6806 0.6806 0.6806

***

8.
Below is a geometry-optimized Tb4Ho19Tm6 structure, with properties calculated at the PBE level.

Values from the calculation:
The value obtained for the energy is -4.17 eV/atom.

a b c (Å): 10.6961 10.6960 10.6961
angles (deg): 109.47 109.47 109.47
Element x y z (fractional)
Ho: 0.9880 0.3273 0.7869
Ho: 0.0000 0.0000 0.0000
Tb: 0.0000 0.0000 0.6431
Tb: 0.6431 0.0000 0.0000
Ho: 0.0000 0.2635 0.2635
Ho: 0.7365 0.7365 0.0000
Tm: 0.3724 0.5000 0.8724
Ho: 0.3393 0.0120 0.7988
Tm: 0.5000 0.8724 0.3724
Ho: 0.3273 0.7869 0.9880
Ho: 0.2131 0.5404 0.2012
Tm: 0.6276 0.5000 0.1276
Ho: 0.7988 0.3393 0.0120
Ho: 0.0120 0.7988 0.3393
Ho: 0.7869 0.9880 0.3273
Ho: 0.7365 0.0000 0.7365
Tm: 0.8724 0.3724 0.5000
Ho: 0.4596 0.6727 0.6607
Tm: 0.1276 0.6276 0.5000
Ho: 0.2635 0.0000 0.2635
Tm: 0.5000 0.1276 0.6276
Ho: 0.6727 0.6607 0.4596
Ho: 0.6607 0.4596 0.6727
Ho: 0.0000 0.7365 0.7365
Ho: 0.2635 0.2635 0.0000
Tb: 0.3569 0.3569 0.3569
Ho: 0.2012 0.2131 0.5404
Tb: 0.0000 0.6431 0.0000
Ho: 0.5404 0.2012 0.2131

***

9.
Below is a geometry-optimized Tb5Ho2Tm6 structure, with properties calculated at the PBE level.

Values from the calculation:
The value obtained for the energy is -4.45 eV/atom.

a b c (Å): 3.5298 11.4879 20.0628
angles (deg): 90.00 90.00 90.00
Element x y z (fractional)
Tb: 0.5000 0.6989 0.5496
Tm: 0.0000 0.0595 0.0813
Tb: 0.5000 0.5000 0.0000
Tm: 0.0000 0.4405 0.5813
Tb: 0.5000 0.1989 0.9504
Ho: 0.0000 0.1693 0.7904
Ho: 0.0000 0.8307 0.2096
Tb: 0.5000 0.9136 0.7725
Tm: 0.0000 0.9405 0.9187
Tb: 0.5000 0.0864 0.2275
Tb: 0.5000 0.3011 0.4504
Tm: 0.5000 0.3257 0.1366
Tb: 0.5000 0.5864 0.2725
Tm: 0.0000 0.0815 0.3691
Ho: 0.0000 0.6693 0.7096
Tm: 0.0000 0.5595 0.4187
Tm: 0.5000 0.8257 0.3634
Tm: 0.5000 0.1743 0.6366
Tm: 0.0000 0.5815 0.1309
Tm: 0.5000 0.6743 0.8634
Tb: 0.5000 0.8011 0.0496
Ho: 0.0000 0.3307 0.2904
Tb: 0.5000 0.4136 0.7275
Tb: 0.5000 0.0000 0.5000
Tm: 0.0000 0.4185 0.8691
Tm: 0.0000 0.9185 0.6309

***

10.
Below is a geometry-optimized Tb3HoTm2 structure, with properties calculated at the PBE level.

Values from the calculation:
The value obtained for the energy is -4.57 eV/atom.

a b c (Å): 7.1088 6.1562 9.4388
angles (deg): 102.55 112.12 90.00
Element x y z (fractional)
Tm: 0.5421 0.0287 0.3338
Tb: 0.8739 0.2500 0.0000
Tm: 0.2083 0.4713 0.6662
Tb: 0.1261 0.7500 0.0000
Tb: 0.2926 0.5280 0.3353
Ho: 0.3758 0.2500 0.0000
Ho: 0.6242 0.7500 0.0000
Tm: 0.7917 0.5287 0.3338
Tm: 0.4579 0.9713 0.6662
Tb: 0.9573 0.9720 0.6647
Tb: 0.0427 0.0280 0.3353
Tb: 0.7074 0.4720 0.6647

***

11.
Below is a geometry-optimized Tb11Ho4Tm9 structure, with properties calculated at the PBE level.

Values from the calculation:
The value obtained for the energy is -4.51 eV/atom.

a b c (Å): 3.6189 14.9881 14.9881
angles (deg): 113.04 90.00 90.00
Element x y z (fractional)
Tm: 0.5000 0.1646 0.6316
Tb: 0.0000 0.9557 0.5933
Ho: 0.5000 0.4455 0.2436
Tm: 0.5000 0.7862 0.9317
Tb: 0.0000 0.7083 0.7083
Tb: 0.0000 0.6324 0.3676
Tm: 0.5000 0.2138 0.0683
Tm: 0.5000 0.6316 0.1646
Tb: 0.0000 0.8400 0.1600
Tm: 0.5000 0.0683 0.2138
Tb: 0.0000 0.4067 0.0443
Tm: 0.5000 0.8354 0.3684
Tb: 0.0000 0.0443 0.4067
Tm: 0.5000 0.9317 0.7862
Ho: 0.5000 0.5545 0.7564
Tb: 0.0000 0.0000 0.0000
Tb: 0.0000 0.1600 0.8400
Ho: 0.5000 0.7564 0.5545
Tb: 0.0000 0.3676 0.6324
Tm: 0.5000 0.3684 0.8354
Tb: 0.0000 0.5933 0.9557
Ho: 0.5000 0.2436 0.4455
Tb: 0.0000 0.2917 0.2917
Tm: 0.5000 0.5000 0.5000

***

12.
Below is a geometry-optimized Tb2Ho9Tm3 structure, with properties calculated at the PBE level.

Values from the calculation:
The value obtained for the energy is -4.44 eV/atom.

a b c (Å): 6.1388 10.3837 13.3619
angles (deg): 40.42 54.99 56.20
Element x y z (fractional)
Ho: 0.6000 0.0089 0.3037
Ho: 0.2637 0.1665 0.0812
Ho: 0.1934 0.5142 0.1023
Tb: 0.4221 0.3294 0.7019
Ho: 0.4000 0.9911 0.6963
Tm: 0.0000 0.0000 0.0000
Tm: 0.3680 0.6548 0.7252
Ho: 0.0000 0.5000 0.5000
Ho: 0.7363 0.8335 0.9188
Ho: 0.0137 0.8393 0.4943
Ho: 0.8066 0.4858 0.8977
Tb: 0.5779 0.6706 0.2981
Tm: 0.6320 0.3452 0.2748
Ho: 0.9863 0.1607 0.5057

***

13.
Below is a geometry-optimized Tb2HoTm8 structure, with properties calculated at the PBE level.

Values from the calculation:
For the excess energy over the best structure of this formula in the dataset, the calculation gives 95 meV/atom. The value obtained for the energy is -4.39 eV/atom.

a b c (Å): 5.4142 7.9653 9.2299
angles (deg): 115.56 107.06 90.00
Element x y z (fractional)
Tm: 0.1609 0.1610 0.3219
Tm: 0.3615 0.5700 0.7230
Tb: 0.2009 0.7008 0.4018
Tm: 0.0000 0.2923 0.0000
Tm: 0.0000 0.7077 0.0000
Tm: 0.6386 0.8472 0.2772
Tm: 0.3614 0.1528 0.7228
Ho: 0.5000 0.0000 0.0000
Tm: 0.6385 0.4300 0.2770
Tm: 0.8391 0.8390 0.6781
Tb: 0.7991 0.2992 0.5982

***

14.
Below is a geometry-optimized TbHo7Tm12 structure, with properties calculated at the PBE level.

Values from the calculation:
For the excess energy over the best structure of this formula in the dataset, the calculation gives 0 meV/atom. The value obtained for the energy is -4.20 eV/atom.

a b c (Å): 8.5552 8.5552 8.5552
angles (deg): 95.16 95.16 95.16
Element x y z (fractional)
Tm: 0.3146 0.1866 0.7491
Tm: 0.2509 0.6854 0.8134
Tb: 0.0000 0.0000 0.0000
Ho: 0.9793 0.9160 0.6469
Tm: 0.7491 0.3146 0.1866
Tm: 0.4810 0.1482 0.4173
Tm: 0.8134 0.2509 0.6854
Ho: 0.9160 0.6469 0.9793
Ho: 0.0207 0.0840 0.3531
Tm: 0.8518 0.5827 0.5190
Ho: 0.0840 0.3531 0.0207
Tm: 0.1482 0.4173 0.4810
Ho: 0.5000 0.5000 0.5000
Tm: 0.5190 0.8518 0.5827
Ho: 0.6469 0.9793 0.9160
Tm: 0.5827 0.5190 0.8518
Tm: 0.6854 0.8134 0.2509
Tm: 0.1866 0.7491 0.3146
Tm: 0.4173 0.4810 0.1482
Ho: 0.3531 0.0207 0.0840

***

15.
Below is a geometry-optimized Tb6HoTm12 structure, with properties calculated at the PBE level.

Values from the calculation:
For the excess energy over the best structure of this formula in the dataset, the calculation gives 0 meV/atom. The value obtained for the energy is -4.40 eV/atom.

a b c (Å): 8.5021 8.5021 8.5021
angles (deg): 79.71 79.71 79.71
Element x y z (fractional)
Tm: 0.8642 0.5132 0.8642
Tm: 0.4858 0.4858 0.8045
Tb: 0.7682 0.1617 0.7682
Tm: 0.1358 0.1358 0.4868
Tb: 0.7682 0.7682 0.1617
Tb: 0.1617 0.7682 0.7682
Ho: 0.0000 0.0000 0.0000
Tm: 0.4868 0.1358 0.1358
Tm: 0.4858 0.8045 0.4858
Tb: 0.2318 0.2318 0.8383
Tm: 0.1358 0.4868 0.1358
Tb: 0.8383 0.2318 0.2318
Tb: 0.2318 0.8383 0.2318
Tm: 0.8642 0.8642 0.5132
Tm: 0.5142 0.1955 0.5142
Tm: 0.5132 0.8642 0.8642
Tm: 0.8045 0.4858 0.4858
Tm: 0.5142 0.5142 0.1955
Tm: 0.1955 0.5142 0.5142

***

16.
Below is a geometry-optimized Tb2HoTm9 structure, with properties calculated at the PBE level.

Values from the calculation:
For the excess energy over the best structure of this formula in the dataset, the calculation gives 70 meV/atom. The value obtained for the energy is -4.38 eV/atom.

a b c (Å): 5.8059 5.8059 10.9026
angles (deg): 90.00 90.00 90.00
Element x y z (fractional)
Tm: 0.5000 0.0000 0.8342
Tb: 0.0000 0.0000 0.6667
Tm: 0.0000 0.5000 0.1658
Tm: 0.5000 0.0000 0.5000
Tm: 0.0000 0.5000 0.5000
Tm: 0.5000 0.5000 0.3335
Tm: 0.5000 0.5000 0.0000
Tm: 0.0000 0.5000 0.8342
Tm: 0.5000 0.0000 0.1658
Tb: 0.0000 0.0000 0.3333
Tm: 0.5000 0.5000 0.6665
Ho: 0.0000 0.0000 0.0000

***

17.
Below is a geometry-optimized Tb7Ho2Tm2 structure, with properties calculated at the PBE level.

Values from the calculation:
For the excess energy over the best structure of this formula in the dataset, the calculation gives 202 meV/atom. The value obtained for the energy is -4.23 eV/atom.

a b c (Å): 6.7734 9.4692 6.7734
angles (deg): 90.00 122.40 90.00
Element x y z (fractional)
Tb: 0.5000 0.3143 0.0000
Tb: 0.0000 0.0000 0.0000
Tb: 0.5000 0.8149 0.5000
Ho: 0.7502 0.5000 0.7502
Tm: 0.7269 0.0000 0.2731
Ho: 0.2498 0.5000 0.2498
Tb: 0.0000 0.3143 0.5000
Tb: 0.5000 0.6857 0.0000
Tb: 0.0000 0.6857 0.5000
Tm: 0.2731 0.0000 0.7269
Tb: 0.5000 0.1851 0.5000

***

no.,energy of formation from the pure elements (eV/atom)
1,0.24
2,0.14
3,0.26
4,0.14
5,0.02
6,0.11
7,0.29
8,0.40
9,0.10
10,0.00
11,0.05
12,0.12
13,0.12
14,0.32
15,0.12
16,0.13
17,0.36